[1]
## Ac2La2NdTm (PBE)

Data for a relaxed structure of Ac2La2NdTm.

```
data_Ac2La2NdTm
_chemical_formula_sum 'Ac4 La4 Nd2 Tm2'
_space_group_name_H-M_alt 'P 1 21/m 1'
_space_group_IT_number 11
_cell_length_a 6.736
_cell_length_b 7.284
_cell_length_c 9.378
_cell_angle_alpha 90.00
_cell_angle_beta 92.46
_cell_angle_gamma 90.00
loop_
_space_group_symop_operation_xyz
'x,y,z'
'-x,-y,-z'
'-x,y+1/2,-z'
'x,-y+1/2,z'
loop_
_atom_site_label
_atom_site_fract_x
_atom_site_fract_y
_atom_site_fract_z
Ac1 0.171 0.002 0.172
La1 0.097 0.750 0.517
La2 0.399 0.250 0.498
Nd1 0.329 0.250 0.846
Tm1 0.344 0.750 0.853
```

## Properties
- total magnetic moment (μB per formula unit) = 0.001
- electronic total energy (eV per cell) = -52.95
- energy of formation (eV per atom) = 0.1394

[2]
## K3HfBr7 (PBE)

Data for a relaxed structure of K3HfBr7.

```
data_K3HfBr7
_chemical_formula_sum 'K6 Hf2 Br14'
_space_group_name_H-M_alt 'C 1 m 1'
_space_group_IT_number 8
_cell_length_a 11.046
_cell_length_b 10.670
_cell_length_c 8.300
_cell_angle_alpha 90.00
_cell_angle_beta 125.05
_cell_angle_gamma 90.00
loop_
_space_group_symop_operation_xyz
'x,y,z'
'x,-y,z'
'x+1/2,y+1/2,z'
'x+1/2,-y+1/2,z'
loop_
_atom_site_label
_atom_site_fract_x
_atom_site_fract_y
_atom_site_fract_z
K1 0.000 0.000 0.000
K2 0.499 0.233 0.574
Hf1 0.045 0.500 0.128
Br1 0.118 0.259 0.273
Br2 0.198 0.500 0.979
Br3 0.332 0.500 0.514
Br4 0.348 0.156 0.824
Br5 0.376 0.000 0.258
```

## Properties
- total magnetic moment (μB per formula unit) = 0.000
- electronic total energy (eV per cell) = -83.48
- uncorrected formation energy (meV/atom) = -1526

[3]
## LaPtI (PBE)

Data for a relaxed structure of LaPtI.

```
data_LaPtI
_chemical_formula_sum 'La4 Pt4 I4'
_space_group_name_H-M_alt 'C 1 2/m 1'
_space_group_IT_number 12
_cell_length_a 7.598
_cell_length_b 4.384
_cell_length_c 13.246
_cell_angle_alpha 90.00
_cell_angle_beta 92.38
_cell_angle_gamma 90.00
loop_
_space_group_symop_operation_xyz
'x,y,z'
'-x,-y,-z'
'-x,y,-z'
'x,-y,z'
'x+1/2,y+1/2,z'
'-x+1/2,-y+1/2,-z'
'-x+1/2,y+1/2,-z'
'x+1/2,-y+1/2,z'
loop_
_atom_site_label
_atom_site_fract_x
_atom_site_fract_y
_atom_site_fract_z
La1 0.155 0.000 0.329
Pt1 0.170 0.000 0.559
I1 0.023 0.500 0.834
```

## Properties
- total magnetic moment (μB per formula unit) = 0.000
- electronic total energy (eV per cell) = -64.46
- uncorrected formation energy (meV/atom) = -1199

[4]
## In2PtPb2 (PBE)

Data for a relaxed structure of In2PtPb2.

```
data_In2PtPb2
_chemical_formula_sum 'In4 Pt2 Pb4'
_space_group_name_H-M_alt 'P 4/m b m'
_space_group_IT_number 127
_space_group_name_Hall '-P 4 2ab'
_cell_length_a 7.108
_cell_length_b 7.108
_cell_length_c 5.219
_cell_angle_alpha 90.00
_cell_angle_beta 90.00
_cell_angle_gamma 90.00
loop_
_atom_site_label
_atom_site_fract_x
_atom_site_fract_y
_atom_site_fract_z
In1 0.150 0.350 0.000
Pt1 0.000 0.000 0.000
Pb1 0.170 0.670 0.500
```

## Properties
- total magnetic moment (μB per formula unit) = 0.000
- E above lowest polymorph (eV/f.u.) = 0.000
- electronic total energy (eV per cell) = -38.28
- energy of formation (eV per atom) = -0.0409

[5]
## Ni3Te2H2 (PBE)

Data for a relaxed structure of Ni3Te2H2.

```
data_Ni3Te2H2
_chemical_formula_sum 'Ni6 Te4 H4'
_space_group_name_H-M_alt 'C 1 2/m 1'
_space_group_IT_number 12
_cell_length_a 10.669
_cell_length_b 4.485
_cell_length_c 4.026
_cell_angle_alpha 90.00
_cell_angle_beta 91.70
_cell_angle_gamma 90.00
loop_
_space_group_symop_operation_xyz
'x,y,z'
'-x,-y,-z'
'-x,y,-z'
'x,-y,z'
'x+1/2,y+1/2,z'
'-x+1/2,-y+1/2,-z'
'-x+1/2,y+1/2,-z'
'x+1/2,-y+1/2,z'
loop_
_atom_site_label
_atom_site_fract_x
_atom_site_fract_y
_atom_site_fract_z
Ni1 0.000 0.000 0.000
Ni2 0.196 0.000 0.608
Te1 0.145 0.500 0.880
H1 0.084 0.000 0.339
```

## Properties
- total magnetic moment (μB per formula unit) = 0.000
- electronic total energy (eV per cell) = -60.20

[6]
## VReGe2Au (PBE)

Data for a relaxed structure of VReGe2Au.

```
data_VReGe2Au
_chemical_formula_sum 'V1 Re1 Ge2 Au1'
_space_group_name_H-M_alt 'P 4/m m m'
_space_group_IT_number 123
_space_group_name_Hall '-P 4 2'
_cell_length_a 4.703
_cell_length_b 4.703
_cell_length_c 5.212
_cell_angle_alpha 90.00
_cell_angle_beta 90.00
_cell_angle_gamma 90.00
loop_
_atom_site_label
_atom_site_fract_x
_atom_site_fract_y
_atom_site_fract_z
V1 0.000 0.000 0.000
Re1 0.500 0.500 0.500
Ge1 0.000 0.500 0.500
Au1 0.500 0.500 0.000
```

## Properties
- total magnetic moment (μB per formula unit) = 0.477
- electronic total energy (eV per cell) = -28.30
- energy of formation (eV per atom) = 1.1549